A plane-wave DFT calculation with GGA-PBE was carried out for Pr4PSe2 after structural relaxation.

Cell and atoms, written as POSCAR:
```
Pr4PSe2
1.0
4.173 0.006 0.001
2.086 7.076 3.431
0.002 0.110 7.139
Pr Se P
4 2 1
Direct
0.119 0.762 0.447
0.619 0.763 0.961
0.381 0.237 0.039
0.881 0.238 0.553
0.743 0.514 0.741
0.257 0.486 0.259
0.000 0.000 0.000
```

Computed properties:
- Density of states at the Fermi level: 4.57 states/eV/f.u.
- Space group: No. 2
- Magnetic moment: 0.00 μB/cell
- E: -5.93 eV/atom